Record 1
The following is a DFT calculation (GGA-PBE) of crystalline HfTl3Te2O9 at its relaxed geometry.

Values from the calculation:
E_tot = -0.2140 Ha/atom
Formation energy from raw total energies = -1294 meV per atom
Magnetization = 0.00 μB/f.u.

Unit cell a=5.8649 b=5.8649 c=7.1758 alpha=90.00 beta=90.00 gamma=120.00
Closest atoms and distances in Å follow each position.
Space group P-3m1 (No. 164)
Symmetry-distinct sites (fractional):
Hf1 0.0000 0.0000 0.0000 x1  6 O 2.12
Tl1 0.0000 0.0000 0.5000 x1  12 O 2.93-2.96
Tl2 0.3333 0.6667 0.1764 x2  12 O 2.87-2.96
Te1 0.3333 0.6667 0.6749 x2  6 O 2.00-2.11
O1 0.0000 0.5000 0.5000 x3  2 Te 2.11
O2 0.1716 0.3432 0.8331 x6  1 Te 2.00, 1 Hf 2.12

=====

Record 2
The following is a DFT calculation (GGA-PBE) of crystalline HfTlTeO6 at its relaxed geometry.

Values from the calculation:
E_tot = -0.2470 Ha/atom
Formation energy from raw total energies = -1697 meV per atom
Magnetization = 0.00 μB/f.u.

Unit cell a=5.4716 b=5.4716 c=5.2099 alpha=90.00 beta=90.00 gamma=120.00
Closest atoms and distances in Å follow each position.
Space group P312 (No. 149)
Symmetry-distinct sites (fractional):
Hf1 0.0000 0.0000 0.0000 x1  6 O 2.10
Tl1 0.6667 0.3333 0.5000 x1  6 O 2.57
Te1 0.3333 0.6667 0.0000 x1  6 O 1.96
O1 0.0534 0.3515 0.2085 x6  1 Te 1.96, 1 Hf 2.10

=====

Record 3
The following is a DFT calculation (GGA-PBE) of crystalline HfTlTe2O8 at its relaxed geometry.

Values from the calculation:
E_tot = -0.2265 Ha/atom
Formation energy from raw total energies = -1308 meV per atom
Magnetization = 0.00 μB/f.u.

Unit cell a=10.9655 b=5.9244 c=7.0139 alpha=90.00 beta=106.33 gamma=90.00
Closest atoms and distances in Å follow each position.
Space group C2/m (No. 12)
Symmetry-distinct sites (fractional):
Hf1 0.0000 0.0000 0.0000 x2  6 O 2.11
Tl1 0.0000 0.5000 0.5000 x2  2 O 2.62
Te1 0.2007 0.5000 0.1198 x4  4 O 1.82-1.95
O1 0.1071 0.2528 0.1860 x8  1 Te 1.92, 1 Hf 2.11
O2 0.1139 0.0000 0.8027 x4  1 Te 1.95, 1 Hf 2.11
O3 0.1674 0.5000 0.8504 x4  1 Te 1.82

=====

Record 4
The following is a DFT calculation (GGA-PBE) of crystalline TmHfTeO6 at its relaxed geometry.

Values from the calculation:
E_tot = -0.2844 Ha/atom
Formation energy from raw total energies = -2482 meV per atom
Magnetization = 0.33 μB/f.u.

Unit cell a=5.4350 b=5.4350 c=9.5554 alpha=90.00 beta=90.00 gamma=120.00
Closest atoms and distances in Å follow each position.
Space group P-31c (No. 163)
Symmetry-distinct sites (fractional):
Tm1 0.0000 0.0000 0.0000 x2  6 O 2.29
Hf1 0.3333 0.6667 0.2500 x2  6 O 2.10
Te1 0.3333 0.6667 0.7500 x2  6 O 2.08
O1 0.0030 0.3492 0.6348 x12  1 Te 2.08, 1 Hf 2.10, 1 Tm 2.29

=====

formation energy from raw total energies of number 2 (HfTlTeO6)?
-1697 meV per atom

=====

magnetization of number 2 (HfTlTeO6)?
0.00 μB/f.u.